9
Lattice="5.212 0.000 0.000 0.000 5.212 0.000 0.000 0.000 10.223" Properties=species:S:1:pos:R:3 comment="Sr5Bi2N2 (PBE, optimized geometry)" crystal_system=tetragonal pbc="T T T"
Sr 0.000 0.000 0.000
Sr 0.000 2.606 2.850
Sr 0.000 2.606 7.373
Sr 2.606 0.000 2.850
Sr 2.606 0.000 7.373
Bi 2.606 2.606 0.000
Bi 2.606 2.606 5.111
N 0.000 0.000 2.390
N 0.000 0.000 7.833


5
Lattice="5.260 0.000 0.000 0.000 5.260 0.000 0.000 0.000 5.260" Properties=species:S:1:pos:R:3 comment="Sr3BiN (PBE, optimized geometry)" crystal_system=cubic pbc="T T T"
Sr 0.000 0.000 2.630
Sr 0.000 2.630 0.000
Sr 2.630 0.000 0.000
Bi 2.630 2.630 2.630
N 0.000 0.000 0.000


19
Lattice="7.102 4.101 4.522 -7.102 4.101 4.522 0.000 -8.201 4.522" Properties=species:S:1:pos:R:3 comment="Sr12Bi6N (PBE, optimized geometry)" crystal_system=trigonal pbc="T T T"
Sr -6.581 -1.893 7.519
Sr -1.652 -6.646 6.048
Sr -2.714 -0.435 5.375
Sr -4.930 4.753 6.048
Sr -0.981 -2.568 8.192
Sr 1.734 -2.133 5.375
Sr -1.734 2.133 8.192
Sr 0.981 2.568 5.375
Sr 4.930 -4.753 7.519
Sr 2.714 0.435 8.192
Sr 1.652 6.646 7.519
Sr 6.581 1.893 6.048
Bi -1.221 -3.487 4.771
Bi -2.409 2.801 4.771
Bi -3.630 -0.686 8.796
Bi 3.630 0.686 4.771
Bi 2.409 -2.801 8.796
Bi 1.221 3.487 8.796
N 0.000 0.000 0.000


14
Lattice="1.967 -6.786 0.000 1.967 6.786 0.000 0.000 0.000 13.998" Properties=species:S:1:pos:R:3 comment="Sr4BiN2 (PBE, optimized geometry)" crystal_system=orthorhombic pbc="T T T"
Sr 0.000 0.000 0.000
Sr 0.000 0.000 6.999
Sr 1.967 3.241 8.306
Sr 1.967 3.241 12.691
Sr 1.967 1.218 3.499
Sr 1.967 -1.218 10.498
Sr 1.967 -3.241 1.307
Sr 1.967 -3.241 5.692
Bi 1.967 5.312 3.499
Bi 1.967 -5.312 10.498
N 1.967 1.898 0.918
N 1.967 1.898 6.081
N 1.967 -1.898 7.917
N 1.967 -1.898 13.079


14
Lattice="3.647 -8.544 0.000 3.647 8.544 0.000 0.000 0.000 7.298" Properties=species:S:1:pos:R:3 comment="Sr4BiTeN (PBE, optimized geometry)" crystal_system=orthorhombic pbc="T T T"
Sr 1.824 4.272 0.000
Sr 1.824 4.272 3.649
Sr 3.647 6.988 5.473
Sr 3.647 1.615 5.473
Sr 1.824 -4.272 0.000
Sr 1.824 -4.272 3.649
Sr 3.647 -1.615 1.824
Sr 3.647 -6.988 1.824
Bi 3.647 6.699 1.824
Bi 3.647 -6.699 5.473
Te 3.647 1.866 1.824
Te 3.647 -1.866 5.473
N 3.647 4.220 5.473
N 3.647 -4.220 1.824


5
Lattice="6.027 0.000 0.000 0.000 6.027 0.000 0.000 0.000 4.476" Properties=species:S:1:pos:R:3 comment="SrBiTe2N (PBE, optimized geometry)" crystal_system=tetragonal pbc="T T T"
Sr 0.000 0.000 0.000
Bi 3.014 3.014 2.238
Te 0.000 3.014 2.238
Te 3.014 0.000 2.238
N 3.014 3.014 0.000


5
Lattice="6.189 0.000 0.000 0.000 6.189 0.000 0.000 0.000 4.706" Properties=species:S:1:pos:R:3 comment="SrBiTe2N (PBE, optimized geometry)" crystal_system=tetragonal pbc="T T T"
Sr 0.000 0.000 0.000
Bi 3.094 3.094 2.353
Te 0.000 3.094 0.000
Te 3.094 0.000 0.000
N 0.000 0.000 2.353


5
Lattice="5.349 0.000 0.000 0.000 5.349 0.000 0.000 0.000 4.821" Properties=species:S:1:pos:R:3 comment="Sr2TlBiN (PBE, optimized geometry)" crystal_system=tetragonal pbc="T T T"
Sr 0.000 2.675 0.000
Sr 2.675 0.000 0.000
Tl 0.000 0.000 2.410
Bi 2.675 2.675 2.410
N 0.000 0.000 0.000


For the records above, the corresponding ΔE_f (raw) values read -0.61, -0.87, -0.71, -0.57, -1.09, 0.12, 0.66, -0.49 eV/atom.